1.
MnSN3 | the Alexandria database | GGA-PBE | relaxed; formation energy (no corrections) = 1.53 eV per atom; DOS at the Fermi energy = 4.30 states/eV per cell
1.0
-2.0291 -0.9466 2.9285
-0.5395 -3.3439 -1.4547
3.0300 -1.2293 1.7020
N Mn S
3 1 1
Cartesian
-0.2698 -1.6720 -0.7274
-1.0145 -0.4733 1.4642
1.5150 -0.6147 0.8510
0.0000 0.0000 0.0000
0.2307 -2.7599 1.5879


2.
Cs3CoI8 | the Alexandria database | GGA-PBE | relaxed; formation energy (no corrections) = -0.54 eV per atom; DOS at the Fermi energy = 5.12 states/eV per cell
1.0
-7.8392 -2.5915 -4.7475
0.1713 -8.4745 4.3431
0.1296 7.9240 5.0138
Cs Co I
3 1 8
Cartesian
-5.7718 -0.1003 0.0320
-1.7665 -3.0417 4.5773
-3.8339 -5.5330 -0.2022
0.0000 0.0000 0.0000
-0.4485 0.0829 6.2347
-4.9940 -1.4198 3.4819
-7.0898 -3.2249 -1.6254
-6.9905 -8.1388 0.8930
-5.0934 3.4941 0.9636
-2.5443 -1.7222 1.1275
-0.5478 4.9968 3.7164
-2.4449 -6.6361 3.6458


3.
Rb5HgAu2O | the Alexandria database | GGA-PBE | relaxed; formation energy (no corrections) = -0.45 eV per atom; DOS at the Fermi energy = 4.13 states/eV per cell
1.0
-4.6209 3.2560 0.0098
-4.8583 -6.8966 0.5956
5.0852 2.2860 7.9093
Au O Rb Hg
2 1 5 1
Cartesian
0.1459 0.1966 3.4664
-4.5399 -1.5511 5.0482
-2.3104 1.6280 0.0049
-6.0024 -3.6191 2.5210
-1.0900 -1.5659 6.3244
-3.3040 0.2114 2.1902
1.6084 2.2646 5.9936
0.0000 0.0000 0.0000
-2.4292 -3.4483 0.2978


4.
SrLaMn4 | the Alexandria database | GGA-PBE | relaxed; DOS at the Fermi energy = 9.52 states/eV per cell; energy relative to the elements = 0.518 eV/atom
1.0
-3.6352 -4.3194 0.0736
-0.5250 -3.1690 4.6431
-4.6968 0.3159 3.1173
Sr Mn La
1 4 1
Cartesian
-6.6427 -5.3794 5.8756
-3.5565 -4.2964 5.3027
-3.2856 -2.6607 2.9062
-5.7098 -2.4977 4.5151
-5.1619 -4.8902 2.9442
0.0000 0.0000 0.0000


5.
SmGa3NiRu | the Alexandria database | GGA-PBE | relaxed; DOS at the Fermi energy = 5.47 states/eV per cell; energy relative to the elements = -0.336 eV/atom
1.0
-0.9340 0.4782 -5.6196
-7.4130 -0.8783 1.1574
3.1665 5.7059 -0.0408
Ga Ru Ni Sm
6 2 2 2
Cartesian
-6.0451 -0.4218 -1.9389
-2.3019 0.0217 -2.5233
-5.5781 -0.6609 0.8709
-4.6138 1.9360 -3.4301
-0.5668 3.3697 -1.0730
-1.8349 -0.2174 0.2865
-0.3225 0.9876 -1.3162
-4.8580 4.3181 -3.1868
-3.9687 -0.0402 -0.7977
-1.2119 5.3460 -3.7053
-0.9309 2.6051 -3.9853
-4.2497 2.7006 -0.5178


6.
BaCuOs2 | the Alexandria database | GGA-PBE | relaxed; distance to the lowest polymorph of the same formula = 0.801 eV/atom; DOS at the Fermi energy = 4.65 states/eV per cell; energy relative to the elements = 1.006 eV/atom
1.0
-0.2987 2.2332 -1.7801
-0.7425 -2.4436 -2.9411
-7.0608 0.2867 1.5444
Os Cu Ba
2 1 1
Cartesian
-6.4427 0.2616 1.4092
-4.1485 0.1685 0.9074
-5.8162 0.1099 -1.2023
-2.2858 -0.0335 -1.9745